Entry 1:
Density functional theory data (PBE-GGA) for a relaxed structure of Al8SiIr2.

Results
The value obtained for the total DFT energy (no corrections) is -5.3020 eV/atom. The uncorrected formation energy comes out at -0.476 eV/atom. Its energy above the most stable polymorph in this dataset is 0 meV/atom. Its density is 6077 kg/m3.

Cell lengths 4.7436, 5.0825, 7.9207 Å; angles 71.38, 72.59, 89.99 degrees
Sites, in units of the cell vectors:
Al1 0.0991 0.0999 0.3006
Al2 0.2497 0.4443 0.5002
Al3 0.3121 0.5635 0.8691
Al4 0.3183 0.0672 0.8704
Al5 0.6817 0.9328 0.1296
Al6 0.6879 0.4365 0.1309
Al7 0.7503 0.5557 0.4998
Al8 0.9009 0.9001 0.6994
Si1 0.5000 0.0000 0.5000
Ir1 0.1571 0.6569 0.1860
Ir2 0.8429 0.3431 0.8140

---

Entry 2:
Density functional theory data (PBE-GGA) for a relaxed structure of Al3SiIr.

Results
The value obtained for the total DFT energy (no corrections) is -4.9290 eV/atom. The uncorrected formation energy comes out at 0.173 eV/atom. Its energy above the most stable polymorph in this dataset is 0 meV/atom. Its density is 4763 kg/m3.

Cell lengths 4.7180, 4.7180, 4.7180 Å; angles 90.00, 90.00, 90.00 degrees
Sites, in units of the cell vectors:
Al1 0.0000 0.0000 0.5000
Al2 0.0000 0.5000 0.0000
Al3 0.5000 0.0000 0.0000
Si1 0.5000 0.5000 0.5000
Ir1 0.0000 0.0000 0.0000

---

Entry 3:
Density functional theory data (PBE-GGA) for a relaxed structure of Al2SiIr.

Results
The value obtained for the total DFT energy (no corrections) is -5.7740 eV/atom. The uncorrected formation energy comes out at -0.332 eV/atom. Its energy above the most stable polymorph in this dataset is 138 meV/atom. Its density is 7910 kg/m3.

Cell lengths 4.5297, 4.5297, 4.5592 Å; angles 97.23, 97.23, 38.39 degrees
Sites, in units of the cell vectors:
Al1 0.2417 0.2417 0.2435
Al2 0.7583 0.7583 0.7565
Si1 0.0000 0.0000 0.5000
Ir1 0.5000 0.5000 0.0000

---

Entry 4:
Density functional theory data (PBE-GGA) for a relaxed structure of Al2SiIr2.

Results
The value obtained for the total DFT energy (no corrections) is -6.6317 eV/atom. The uncorrected formation energy comes out at -0.506 eV/atom. Its energy above the most stable polymorph in this dataset is 228 meV/atom. Its density is 10400 kg/m3.

Cell lengths 7.1461, 7.1461, 2.9170 Å; angles 90.00, 90.00, 90.00 degrees
Sites, in units of the cell vectors:
Al1 0.1398 0.3602 0.0000
Al2 0.3602 0.8602 0.0000
Al3 0.6398 0.1398 0.0000
Al4 0.8602 0.6398 0.0000
Si1 0.0000 0.0000 0.5000
Si2 0.5000 0.5000 0.5000
Ir1 0.1585 0.6585 0.5000
Ir2 0.3415 0.1585 0.5000
Ir3 0.6585 0.8415 0.5000
Ir4 0.8415 0.3415 0.5000

---

Entry 5:
Density functional theory data (PBE-GGA) for a relaxed structure of Al2SiIr2.

Results
The value obtained for the total DFT energy (no corrections) is -6.4138 eV/atom. The uncorrected formation energy comes out at -0.288 eV/atom. Its energy above the most stable polymorph in this dataset is 446 meV/atom. Its density is 9942 kg/m3.

Cell lengths 6.6653, 6.6653, 6.6653 Å; angles 149.09, 149.09, 44.28 degrees
Sites, in units of the cell vectors:
Al1 0.2500 0.7500 0.5000
Al2 0.7500 0.2500 0.5000
Si1 0.0000 0.0000 0.0000
Ir1 0.3936 0.3936 0.0000
Ir2 0.6064 0.6064 0.0000

---

Entry 6:
Density functional theory data (PBE-GGA) for a relaxed structure of AlSiIr2.

Results
The value obtained for the total DFT energy (no corrections) is -6.7439 eV/atom. The uncorrected formation energy comes out at -0.022 eV/atom. Its density is 12396 kg/m3.

Cell lengths 2.8046, 2.8046, 8.5250 Å; angles 90.00, 90.00, 118.60 degrees
Sites, in units of the cell vectors:
Al1 0.0000 0.0000 0.0000
Si1 0.5000 0.5000 0.2579
Ir1 0.0000 0.0000 0.4799
Ir2 0.5000 0.5000 0.7684

---

Entry 7:
Density functional theory data (PBE-GGA) for a relaxed structure of Al8SiIr2.

Results
The value obtained for the total DFT energy (no corrections) is -5.1139 eV/atom. The uncorrected formation energy comes out at -0.288 eV/atom. Its energy above the most stable polymorph in this dataset is 188 meV/atom. Its density is 5398 kg/m3.

Cell lengths 6.5352, 6.5352, 4.9971 Å; angles 100.25, 100.25, 68.02 degrees
Sites, in units of the cell vectors:
Al1 0.0881 0.6871 0.1013
Al2 0.0889 0.0889 0.3567
Al3 0.3114 0.3114 0.7192
Al4 0.3129 0.9119 0.8987
Al5 0.6871 0.0881 0.1013
Al6 0.6886 0.6886 0.2808
Al7 0.9111 0.9111 0.6433
Al8 0.9119 0.3129 0.8987
Si1 0.5000 0.5000 0.5000
Ir1 0.2955 0.2955 0.2042
Ir2 0.7045 0.7045 0.7958

---

Entry 8:
Density functional theory data (PBE-GGA) for a relaxed structure of AlSiIr2.

Results
The value obtained for the total DFT energy (no corrections) is -7.3916 eV/atom. The uncorrected formation energy comes out at -0.670 eV/atom. Its density is 13305 kg/m3.

Cell lengths 2.8604, 2.8610, 6.7028 Å; angles 90.00, 90.16, 90.00 degrees
Sites, in units of the cell vectors:
Al1 0.0000 0.0000 0.0000
Si1 0.0000 0.0000 0.5000
Ir1 0.4960 0.5000 0.2712
Ir2 0.5040 0.5000 0.7288

---

Entry 9:
Density functional theory data (PBE-GGA) for a relaxed structure of Al2SiIr2.

Results
The value obtained for the total DFT energy (no corrections) is -6.8595 eV/atom. The uncorrected formation energy comes out at -0.733 eV/atom. Its energy above the most stable polymorph in this dataset is 0 meV/atom. Its density is 10099 kg/m3.

Cell lengths 4.1072, 4.1072, 5.2508 Å; angles 90.00, 90.00, 120.00 degrees
Sites, in units of the cell vectors:
Al1 0.3333 0.6667 0.3654
Al2 0.6667 0.3333 0.6346
Si1 0.0000 0.0000 0.0000
Ir1 0.3333 0.6667 0.8468
Ir2 0.6667 0.3333 0.1532

---

Entry 10:
Density functional theory data (PBE-GGA) for a relaxed structure of Al2SiIr.

Results
The value obtained for the total DFT energy (no corrections) is -5.7692 eV/atom. The uncorrected formation energy comes out at -0.327 eV/atom. Its energy above the most stable polymorph in this dataset is 143 meV/atom. Its density is 7658 kg/m3.

Cell lengths 2.8585, 2.8585, 7.2781 Å; angles 90.00, 90.00, 90.00 degrees
Sites, in units of the cell vectors:
Al1 0.0000 0.0000 0.2263
Al2 0.0000 0.0000 0.7737
Si1 0.5000 0.5000 0.5000
Ir1 0.5000 0.5000 0.0000

---

Entry 11:
Density functional theory data (PBE-GGA) for a relaxed structure of Al2SiIr.

Results
The value obtained for the total DFT energy (no corrections) is -5.8739 eV/atom. The uncorrected formation energy comes out at -0.432 eV/atom. Its energy above the most stable polymorph in this dataset is 38 meV/atom. Its density is 7281 kg/m3.

Cell lengths 6.1585, 2.9637, 7.0279 Å; angles 90.00, 102.75, 90.00 degrees
Sites, in units of the cell vectors:
Al1 0.0256 0.2500 0.2716
Al2 0.3433 0.7500 0.5813
Al3 0.6567 0.2500 0.4187
Al4 0.9744 0.7500 0.7284
Si1 0.3071 0.2500 0.9236
Si2 0.6929 0.7500 0.0764
Ir1 0.3487 0.7500 0.2109
Ir2 0.6513 0.2500 0.7891

---

Entry 12:
Density functional theory data (PBE-GGA) for a relaxed structure of Al2SiIr.

Results
The value obtained for the total DFT energy (no corrections) is -5.6900 eV/atom. The uncorrected formation energy comes out at -0.248 eV/atom. Its energy above the most stable polymorph in this dataset is 222 meV/atom. Its density is 7868 kg/m3.

Cell lengths 2.9630, 3.7073, 5.2691 Å; angles 90.00, 90.00, 90.00 degrees
Sites, in units of the cell vectors:
Al1 0.0000 0.0000 0.0000
Al2 0.5000 0.5000 0.2784
Si1 0.5000 0.5000 0.7770
Ir1 0.0000 0.0000 0.4961

---

Entry 13:
Density functional theory data (PBE-GGA) for a relaxed structure of AlSiIr2.

Results
The value obtained for the total DFT energy (no corrections) is -7.2593 eV/atom. The uncorrected formation energy comes out at -0.537 eV/atom. Its density is 13045 kg/m3.

Cell lengths 4.3016, 4.3016, 4.9308 Å; angles 100.92, 100.92, 38.75 degrees
Sites, in units of the cell vectors:
Al1 0.0000 0.0000 0.0000
Si1 0.5000 0.5000 0.5000
Ir1 0.2466 0.2466 0.7428
Ir2 0.7534 0.7534 0.2572

---

Entry 14:
Density functional theory data (PBE-GGA) for a relaxed structure of AlSi4Ir.

Results
The value obtained for the total DFT energy (no corrections) is -5.2092 eV/atom. The uncorrected formation energy comes out at 0.507 eV/atom. Its density is 6274 kg/m3.

Cell lengths 4.9879, 4.9879, 4.9879 Å; angles 60.00, 60.00, 60.00 degrees
Sites, in units of the cell vectors:
Al1 0.0000 0.0000 0.0000
Si1 0.1224 0.6258 0.6258
Si2 0.6258 0.1224 0.6258
Si3 0.6258 0.6258 0.1224
Si4 0.6258 0.6258 0.6258
Ir1 0.2500 0.2500 0.2500

---

Entry 15:
Density functional theory data (PBE-GGA) for a relaxed structure of Al4SiIr.

Results
The value obtained for the total DFT energy (no corrections) is -4.6271 eV/atom. The uncorrected formation energy comes out at 0.249 eV/atom. Its density is 5835 kg/m3.

Cell lengths 5.0929, 5.0929, 5.0929 Å; angles 60.00, 60.00, 60.00 degrees
Sites, in units of the cell vectors:
Al1 0.1254 0.1254 0.1254
Al2 0.1254 0.1254 0.6239
Al3 0.1254 0.6239 0.1254
Al4 0.6239 0.1254 0.1254
Si1 0.5000 0.5000 0.5000
Ir1 0.7500 0.7500 0.7500

---

Entry 16:
Density functional theory data (PBE-GGA) for a relaxed structure of AlSiIr2.

Results
The value obtained for the total DFT energy (no corrections) is -7.3616 eV/atom. The uncorrected formation energy comes out at -0.640 eV/atom. Its density is 13415 kg/m3.

Cell lengths 4.3786, 4.3786, 2.8688 Å; angles 90.00, 90.00, 98.44 degrees
Sites, in units of the cell vectors:
Al1 0.0000 0.0000 0.0000
Si1 0.5000 0.5000 0.0000
Ir1 0.0000 0.5000 0.5000
Ir2 0.5000 0.0000 0.5000

---

Entry 17:
Density functional theory data (PBE-GGA) for a relaxed structure of Al2SiIr.

Results
The value obtained for the total DFT energy (no corrections) is -5.9118 eV/atom. The uncorrected formation energy comes out at -0.469 eV/atom. Its energy above the most stable polymorph in this dataset is 0 meV/atom. Its density is 7667 kg/m3.

Cell lengths 4.1655, 4.9167, 4.9167 Å; angles 36.15, 90.00, 90.00 degrees
Sites, in units of the cell vectors:
Al1 0.0000 0.0000 0.0000
Al2 0.5000 0.3201 0.3201
Si1 0.0000 0.7360 0.7360
Ir1 0.5000 0.5919 0.5919

---

Entry 18:
Density functional theory data (PBE-GGA) for a relaxed structure of Al8Si2Ir.

Results
The value obtained for the total DFT energy (no corrections) is -4.6123 eV/atom. The uncorrected formation energy comes out at -0.099 eV/atom. Its density is 4360 kg/m3.

Cell lengths 7.3233, 7.3233, 7.3233 Å; angles 148.11, 120.23, 69.35 degrees
Sites, in units of the cell vectors:
Al1 0.0990 0.3384 0.7606
Al2 0.1666 0.1666 0.0000
Al3 0.2522 0.0000 0.2522
Al4 0.4222 0.6616 0.7606
Al5 0.5778 0.3384 0.2394
Al6 0.7478 0.0000 0.7478
Al7 0.8334 0.8334 0.0000
Al8 0.9010 0.6616 0.2394
Si1 0.3507 0.8507 0.5000
Si2 0.6493 0.1493 0.5000
Ir1 0.0000 0.5000 0.5000

---

Entry 19:
Density functional theory data (PBE-GGA) for a relaxed structure of Al2SiIr.

Results
The value obtained for the total DFT energy (no corrections) is -5.6547 eV/atom. The uncorrected formation energy comes out at -0.212 eV/atom. Its energy above the most stable polymorph in this dataset is 257 meV/atom. Its density is 7809 kg/m3.

Cell lengths 4.3529, 4.3529, 4.3529 Å; angles 60.00, 60.00, 60.00 degrees
Sites, in units of the cell vectors:
Al1 0.2500 0.2500 0.2500
Al2 0.7500 0.7500 0.7500
Si1 0.0000 0.0000 0.0000
Ir1 0.5000 0.5000 0.5000

---

Entry 20:
Density functional theory data (PBE-GGA) for a relaxed structure of Al3SiIr.

Results
The value obtained for the total DFT energy (no corrections) is -4.2039 eV/atom. The uncorrected formation energy comes out at 0.898 eV/atom. Its energy above the most stable polymorph in this dataset is 725 meV/atom. Its density is 5207 kg/m3.

Cell lengths 4.5801, 4.5801, 4.5801 Å; angles 90.00, 90.00, 90.00 degrees
Sites, in units of the cell vectors:
Al1 0.0000 0.0000 0.5000
Al2 0.0000 0.5000 0.0000
Al3 0.5000 0.0000 0.0000
Si1 0.0000 0.0000 0.0000
Ir1 0.5000 0.5000 0.5000